# 1
Material: Dy3HoPd2
Method: DFT, GGA-PBE
State: relaxed Values from VASP.

## Properties
Energy relative to the elements = -530 meV per atom
Space-group type = No. 12

Geometry as Quantum ESPRESSO input:
```
&SYSTEM
  ibrav = 0, nat = 12, ntyp = 3
/
ATOMIC_SPECIES
Dy 162.50 Dy.upf
Ho 164.93 Ho.upf
Pd 106.42 Pd.upf
ATOMIC_POSITIONS crystal
Dy 0.3209 0.6418 0.6608
Dy 0.9332 0.8664 0.7026
Dy 0.6157 0.2315 0.6698
Dy 0.3843 0.7685 0.3302
Dy 0.0668 0.1336 0.2974
Dy 0.6791 0.3582 0.3392
Ho 0.8406 0.6811 0.9753
Ho 0.1594 0.3189 0.0247
Pd 0.5311 0.0621 0.8379
Pd 0.4689 0.9379 0.1621
Pd 0.7780 0.5561 0.2111
Pd 0.2220 0.4439 0.7889
CELL_PARAMETERS angstrom
5.1167 0.0000 0.0000
-2.5583 10.3835 -0.6664
0.0000 -5.4171 6.1138
```

# 2
Material: Pu3Tl2OsO12
Method: DFT, GGA-PBE
State: relaxed Values from VASP.

## Properties
Energy relative to the elements, uncorrected = -190 kJ per mole of atoms
Space-group type = No. 166

Geometry as Quantum ESPRESSO input:
```
&SYSTEM
  ibrav = 0, nat = 18, ntyp = 4
/
ATOMIC_SPECIES
Pu 244.00 Pu.upf
Tl 204.38 Tl.upf
Os 190.23 Os.upf
O 16.00 O.upf
ATOMIC_POSITIONS crystal
Pu 0.5000 0.0000 0.0000
Pu 0.0000 0.5000 0.0000
Pu 0.0000 0.0000 0.5000
Tl 0.6108 0.6108 0.6108
Tl 0.3892 0.3892 0.3892
Os 0.0000 0.0000 0.0000
O 0.3226 0.3226 0.9316
O 0.9407 0.9407 0.2929
O 0.2929 0.9407 0.9407
O 0.9316 0.3226 0.3226
O 0.9407 0.2929 0.9407
O 0.3226 0.9316 0.3226
O 0.6774 0.6774 0.0684
O 0.0593 0.0593 0.7071
O 0.7071 0.0593 0.0593
O 0.0684 0.6774 0.6774
O 0.0593 0.7071 0.0593
O 0.6774 0.0684 0.6774
CELL_PARAMETERS angstrom
-6.1454 -2.0904 -4.0402
0.9774 -4.3675 -6.1991
-2.2602 -7.3001 0.2428
```

no.,raw total energy (eV/atom)
1,-5.325
2,-8.555